Crystalline CuMoP2Cl at its relaxed geometry, computed with GGA-PBEsol.

The calculation puts the magnetic moment at 0.000 μB per atom. The calculation puts the raw formation energy at 0.61 eV per atom. The space group is P4/mmm (123).

abc: 4.6134 4.6134 4.7655
angles: 90.00 90.00 90.00
Element x y z (fractional)
Cu 0.0000 0.0000 0.0000
Mo 0.5000 0.5000 0.5000
P 0.0000 0.5000 0.5000
P 0.5000 0.0000 0.5000
Cl 0.5000 0.5000 0.0000